Entry 1:
First-principles (PBE-GGA) data for an optimized crystal structure of NaMoSe2Br, as listed in Alexandria via LeMat-Bulk.

Lattice parameters (Å, degrees): 5.205 5.205 5.082 90.00 90.00 90.00
Site moments in Bohr magnetons follow the coordinates.
Fractional coordinates of all 5 atoms:
Na (0.000, 0.000, 0.000)  0.00
Mo (0.500, 0.500, 0.500)  3.63
Se (0.000, 0.500, 0.000)  -0.64
Se (0.500, 0.000, 0.000)  -0.64
Br (0.000, 0.000, 0.500)  -0.20

The magnetic moment comes out at 2.076 μB/f.u. The calculation puts the uncorrected formation energy at 0.883 eV/atom. The calculation puts the excess energy over the best structure of this formula in the dataset at 6.25 eV/f.u. Its total energy is -3.276 eV per atom.

Entry 2:
First-principles (PBE-GGA) data for an optimized crystal structure of NaSi2MoBr, as listed in Alexandria via LeMat-Bulk.

Lattice parameters (Å, degrees): 4.904 4.842 4.904 90.00 90.00 90.00
Site moments in Bohr magnetons follow the coordinates.
Fractional coordinates of all 5 atoms:
Na (0.000, 0.000, 0.000)  0.00
Mo (0.500, 0.500, 0.500)  -0.14
Si (0.000, 0.000, 0.500)  0.00
Si (0.500, 0.000, 0.000)  0.01
Br (0.000, 0.500, 0.000)  0.00

The magnetic moment comes out at 0.122 μB/f.u. The calculation puts the uncorrected formation energy at 1.878 eV/atom. Its total energy is -3.056 eV per atom.

Entry 3:
First-principles (PBE-GGA) data for an optimized crystal structure of NaSiMoBr2, as listed in Alexandria via LeMat-Bulk.

Lattice parameters (Å, degrees): 5.382 5.550 5.382 90.00 90.00 90.00
Site moments in Bohr magnetons follow the coordinates.
Fractional coordinates of all 5 atoms:
Na (0.000, 0.500, 0.000)  0.00
Mo (0.500, 0.500, 0.500)  4.14
Si (0.000, 0.000, 0.000)  -0.04
Br (0.000, 0.000, 0.500)  0.01
Br (0.500, 0.000, 0.000)  0.03

The magnetic moment comes out at 5.375 μB/f.u. The calculation puts the uncorrected formation energy at 0.939 eV/atom. Its total energy is -3.245 eV per atom.

Entry 4:
First-principles (PBE-GGA) data for an optimized crystal structure of NaTaMoBr2, as listed in Alexandria via LeMat-Bulk.

Lattice parameters (Å, degrees): 5.441 4.759 5.441 90.00 90.00 90.00
Fractional coordinates of all 5 atoms:
Na (0.500, 0.500, 0.500)
Mo (0.000, 0.000, 0.000)
Br (0.000, 0.000, 0.500)
Br (0.500, 0.000, 0.000)
Ta (0.000, 0.500, 0.000)

The magnetic moment comes out at 0.000 μB/f.u. The calculation puts the uncorrected formation energy at 0.725 eV/atom. The calculation puts the excess energy over the best structure of this formula in the dataset at 0.50 eV/f.u. Its total energy is -4.744 eV per atom.